Record 1
Computed, not measured: a relaxed NaEr2TaO6 crystal at the PBE level of DFT.

Values from the calculation:
Formation energy from raw total energies (meV per atom): -3113

POSCAR file:
```
NaEr2TaO6
1.0
5.6354 0.0001 0.0003
2.8177 4.8803 0.0000
2.8176 1.6269 5.0120
O Er Ta Na
6 2 1 1
Cartesian
4.5598 1.5210 1.1515 O
6.2952 4.6350 3.8455 O
6.5016 1.9915 3.8456 O
4.6727 5.0513 1.1515 O
4.1092 3.1346 3.8456 O
7.6737 3.1885 1.1518 O
2.8176 1.6269 4.7230 Er
5.6354 3.2536 2.1550 Er
2.8177 1.6267 0.2236 Ta
8.4530 4.8804 3.0444 Na
```


Record 2
Computed, not measured: a relaxed Li2VH crystal at the PBE level of DFT.

POSCAR file:
```
Li2VH
1.0
-1.7775 4.5974 -2.2928
-5.0409 -2.0287 -0.1598
-4.1067 2.7444 2.2421
Li V H
4 2 2
Cartesian
-4.8373 1.1253 -0.3907 Li
-7.8045 4.8056 -0.4251 Li
-2.3299 2.1734 -0.3277 Li
-6.8787 2.5218 0.7225 Li
-4.6467 4.3130 -0.6385 V
0.0000 0.0000 0.0000 V
-6.2784 1.0000 0.4280 H
-3.4092 1.2843 -1.2263 H
```


Record 3
Computed, not measured: a relaxed PrPuAu4 crystal at the PBE level of DFT.

Values from the calculation:
Formation energy from the elements (eV per atom): -0.605

POSCAR file:
```
PrPuAu4
1.0
0.9219 4.6734 -0.6216
-4.4705 -1.4608 0.9785
-2.2689 3.8585 7.1403
Au Pr Pu
4 1 1
Cartesian
-1.6868 4.7149 5.0896 Au
-4.0955 2.3618 2.3740 Au
-3.4831 2.6713 5.6220 Au
-2.2993 4.4053 1.8416 Au
-4.0256 5.4676 7.3019 Pr
-5.5874 0.4712 4.5318 Pu
```


Record 4
Computed, not measured: a relaxed NdGdTmSc crystal at the PBE level of DFT.

Values from the calculation:
Formation energy from the elements (eV per atom): 0.089

POSCAR file:
```
NdGdTmSc
1.0
-0.5817 -2.4394 -4.9701
-2.2814 -5.0649 -0.3648
-5.0669 -0.6171 -2.2219
Tm Nd Gd Sc
1 1 1 1
Cartesian
-5.9475 -6.0911 -5.6676 Tm
-3.9650 -4.0607 -3.7784 Nd
0.0000 0.0000 0.0000 Gd
-1.9825 -2.0304 -1.8892 Sc
```


Record 5
Computed, not measured: a relaxed Ca5O4 crystal at the PBE level of DFT.

Values from the calculation:
Formation energy from raw total energies (meV per atom): -2352

POSCAR file:
```
Ca5O4
1.0
3.4734 0.0000 0.0000
1.7367 6.7373 0.0000
1.7367 0.0000 6.7373
O Ca
4 5
Cartesian
3.4734 2.1487 0.6565 O
5.2100 6.0808 2.1487 O
1.7367 0.6565 4.5885 O
3.4734 4.5885 6.0808 O
3.4734 4.3398 1.1661 Ca
1.7367 1.1661 2.3974 Ca
0.0000 0.0000 0.0000 Ca
3.4734 2.3974 5.5712 Ca
5.2100 5.5712 4.3398 Ca
```


Record 6
Computed, not measured: a relaxed Ac3Dy3MgTe8 crystal at the PBE level of DFT.

Values from the calculation:
Formation energy from raw total energies (meV per atom): -1347

POSCAR file:
```
Ac3Dy3MgTe8
1.0
8.9347 -0.0001 -0.0001
-4.4674 7.7372 -0.0272
0.0000 -5.1311 7.5773
Te Dy Ac Mg
8 3 3 1
Cartesian
4.4673 2.6012 2.0787 Te
2.2459 3.8952 5.4579 Te
2.2214 -1.2892 2.0921 Te
4.4673 0.0195 5.4746 Te
-2.2460 3.8953 5.4579 Te
0.0000 0.0048 5.4713 Te
6.7133 -1.2893 2.0921 Te
0.0000 2.5865 2.0754 Te
4.4674 -2.5656 3.7886 Dy
2.2336 1.3030 3.7750 Dy
-2.2337 1.3030 3.7750 Dy
2.2336 3.8686 -0.0136 Ac
-2.2337 3.8686 -0.0136 Ac
0.0000 0.0000 0.0000 Ac
0.0000 -2.5656 3.7886 Mg
```


Number 1: DOS at the Fermi energy 0.00 states/eV/cell, E -8.318 eV/atom. Number 2: DOS at the Fermi energy 6.45 states/eV/cell, E -3.606 eV/atom. Number 3: DOS at the Fermi energy 14.84 states/eV/cell, E -5.976 eV/atom. Number 4: DOS at the Fermi energy 6.11 states/eV/cell, E -7.324 eV/atom. Number 5: DOS at the Fermi energy 1.89 states/eV/cell, E -5.667 eV/atom. Number 6: DOS at the Fermi energy 3.70 states/eV/cell, E -4.871 eV/atom.